Record 1
Density functional theory data (PBE) for crystalline Ba2LaTbS4 at its relaxed geometry.

Cell lengths 4.2233, 7.3097, 7.5638 Å; angles 108.77, 90.00, 90.00 degrees
With the nearest neighbours (Å) after each atom.
Positions (direct):
Ba 0.5000 0.0000 0.5000  6 S 3.13-3.14
Ba 0.0000 0.5000 0.5000  6 S 3.21-3.22
La 0.5000 0.5000 0.0000  6 S 2.93
Tb 0.0000 0.0000 0.0000  6 S 2.83-2.85
S 0.5000 0.2292 0.2138  2 Tb 2.85, 1 La 2.93, 1 Ba 3.13
S 0.5000 0.7708 0.7862  2 Tb 2.85, 1 La 2.93, 1 Ba 3.13
S 0.0000 0.2506 0.7816  1 Tb 2.83, 2 La 2.93, 2 Ba 3.14
S 0.0000 0.7494 0.2184  1 Tb 2.83, 2 La 2.93, 2 Ba 3.14

Values from the calculation:
The density of states at the Fermi level comes out at 0.47 states/eV/atom. For the total energy, the calculation gives -5.784 eV/atom. For the formation energy without anion corrections, the calculation gives -1578 kJ/mol of formula units.

***

Record 2
Density functional theory data (PBE) for crystalline TaVCoOs at its relaxed geometry.

Cell lengths 4.3380, 4.3380, 4.3380 Å; angles 60.00, 60.00, 60.00 degrees
With the nearest neighbours (Å) after each atom.
Positions (direct):
Co 0.5000 0.5000 0.5000  4 Ta 2.66, 4 V 2.66
V 0.2500 0.2500 0.2500  4 Co 2.66, 4 Os 2.66
Os 0.0000 0.0000 0.0000  4 Ta 2.66, 4 V 2.66
Ta 0.7500 0.7500 0.7500  4 Os 2.66, 4 Co 2.66

Values from the calculation:
The density of states at the Fermi level comes out at 0.85 states/eV/atom. For the total energy, the calculation gives -10.007 eV/atom. The formation energy is -0.180 eV/atom.

***

Look up the density of states at the Fermi level of the first one.
0.47 states/eV/atom

***

density of states at the Fermi level of number 1 (Ba2LaTbS4)?
0.47 states/eV/atom

***

Repeat the second record exactly.
Density functional theory data (PBE) for crystalline TaVCoOs at its relaxed geometry.

Cell lengths 4.3380, 4.3380, 4.3380 Å; angles 60.00, 60.00, 60.00 degrees
With the nearest neighbours (Å) after each atom.
Positions (direct):
Co 0.5000 0.5000 0.5000  4 Ta 2.66, 4 V 2.66
V 0.2500 0.2500 0.2500  4 Co 2.66, 4 Os 2.66
Os 0.0000 0.0000 0.0000  4 Ta 2.66, 4 V 2.66
Ta 0.7500 0.7500 0.7500  4 Os 2.66, 4 Co 2.66

Values from the calculation:
The density of states at the Fermi level comes out at 0.85 states/eV/atom. For the total energy, the calculation gives -10.007 eV/atom. The formation energy is -0.180 eV/atom.

***

density of states at the Fermi level of number 2 (TaVCoOs)?
0.85 states/eV/atom